No. 1
# Zr4TlOs | the Alexandria database | GGA-PBE | optimized geometry
data_Zr4TlOs
_cell_length_a 7.971
_cell_length_b 7.971
_cell_length_c 7.971
_cell_angle_alpha 90.00
_cell_angle_beta 90.00
_cell_angle_gamma 90.00
_symmetry_space_group_name_H-M 'F -4 3 m'
_symmetry_Int_Tables_number 216
_symmetry_space_group_name_Hall 'F -4 2 3'
loop_
_atom_site_label
_atom_site_type_symbol
_atom_site_fract_x
_atom_site_fract_y
_atom_site_fract_z
_atom_site_occupancy
Zr1 Zr 0.123 0.123 0.123 1
Tl1 Tl 0.000 0.000 0.500 1
Os1 Os 0.250 0.250 0.750 1
# Theoretical density: 9.96 g/cm³
# E_tot: -7.464 eV per atom
# Energy relative to the elements: 0.5010 eV/atom

---

No. 2
# CaSc3Br | the Alexandria database | GGA-PBE | optimized geometry
data_CaSc3Br
_cell_length_a 5.478
_cell_length_b 5.478
_cell_length_c 5.478
_cell_angle_alpha 90.00
_cell_angle_beta 90.00
_cell_angle_gamma 90.00
_symmetry_space_group_name_H-M 'P m -3 m'
_symmetry_Int_Tables_number 221
_symmetry_space_group_name_Hall '-P 4 2 3'
loop_
_atom_site_label
_atom_site_type_symbol
_atom_site_fract_x
_atom_site_fract_y
_atom_site_fract_z
_atom_site_occupancy
Ca1 Ca 0.000 0.000 0.000 1
Sc1 Sc 0.000 0.000 0.500 1
Br1 Br 0.500 0.500 0.500 1
# Theoretical density: 2.57 g/cm³
# E_tot: -3.439 eV per atom

---

No. 3
# NaSrAs2Pt2 | the Alexandria database | GGA-PBE | optimized geometry
data_NaSrAs2Pt2
_cell_length_a 4.2117
_cell_length_b 4.2117
_cell_length_c 9.1490
_cell_angle_alpha 90.00
_cell_angle_beta 90.00
_cell_angle_gamma 120.00
_symmetry_space_group_name_H-M 'P -3 m 1'
_symmetry_Int_Tables_number 164
_symmetry_space_group_name_Hall '-P 3 2"'
loop_
_atom_site_label
_atom_site_type_symbol
_atom_site_fract_x
_atom_site_fract_y
_atom_site_fract_z
_atom_site_occupancy
Na1 Na 0.0000 0.0000 0.0000 1
Sr1 Sr 0.0000 0.0000 0.5000 1
As1 As 0.3333 0.6667 0.7611 1
Pt1 Pt 0.3333 0.6667 0.2509 1
# Theoretical density: 7.69 g/cm³
# E_tot: -4.781 eV per atom
# Energy relative to the elements: -0.7172 eV/atom

---

No. 4
# TaBiTe2I | the Alexandria database | GGA-PBE | optimized geometry
data_TaBiTe2I
_cell_length_a 5.458
_cell_length_b 5.458
_cell_length_c 5.496
_cell_angle_alpha 90.00
_cell_angle_beta 90.00
_cell_angle_gamma 90.00
_symmetry_space_group_name_H-M 'P 4/m m m'
_symmetry_Int_Tables_number 123
_symmetry_space_group_name_Hall '-P 4 2'
loop_
_atom_site_label
_atom_site_type_symbol
_atom_site_fract_x
_atom_site_fract_y
_atom_site_fract_z
_atom_site_occupancy
Ta1 Ta 0.000 0.000 0.000 1
Bi1 Bi 0.500 0.500 0.500 1
Te1 Te 0.000 0.500 0.000 1
I1 I 0.000 0.000 0.500 1
# Theoretical density: 7.83 g/cm³
# E_tot: -4.350 eV per atom

---

No. 5
# La2GaTc2 | the Alexandria database | GGA-PBE | optimized geometry
data_La2GaTc2
_cell_length_a 6.939
_cell_length_b 6.939
_cell_length_c 4.760
_cell_angle_alpha 90.00
_cell_angle_beta 90.00
_cell_angle_gamma 90.00
_symmetry_space_group_name_H-M 'P 4/m b m'
_symmetry_Int_Tables_number 127
_symmetry_space_group_name_Hall '-P 4 2ab'
loop_
_atom_site_label
_atom_site_type_symbol
_atom_site_fract_x
_atom_site_fract_y
_atom_site_fract_z
_atom_site_occupancy
La1 La 0.183 0.317 0.000 1
Ga1 Ga 0.000 0.000 0.500 1
Tc1 Tc 0.117 0.617 0.500 1
# Theoretical density: 7.88 g/cm³
# E_tot: -6.814 eV per atom
# Energy relative to the elements: -0.0909 eV/atom

---

No. 6
# CrIn2Si | the Alexandria database | GGA-PBE | optimized geometry
data_CrIn2Si
_cell_length_a 4.181
_cell_length_b 4.181
_cell_length_c 8.881
_cell_angle_alpha 90.00
_cell_angle_beta 90.00
_cell_angle_gamma 90.00
_symmetry_space_group_name_H-M 'I -4 m 2'
_symmetry_Int_Tables_number 119
_symmetry_space_group_name_Hall 'I -4 -2'
loop_
_atom_site_label
_atom_site_type_symbol
_atom_site_fract_x
_atom_site_fract_y
_atom_site_fract_z
_atom_site_occupancy
Cr1 Cr 0.000 0.000 0.000 1
In1 In 0.000 0.000 0.500 1
In2 In 0.000 0.500 0.750 1
Si1 Si 0.000 0.500 0.250 1
# Theoretical density: 6.63 g/cm³
# E_tot: -4.710 eV per atom

---

Q: What is the formula in the fourth record?
A: TaBiTe2I

---

Q: The lowest E_tot belongs to which entry?
A: Zr4TlOs